1.
A plane-wave DFT calculation with GGA-PBE was carried out for a relaxed structure of InAuCl3.

Geometry as extended XYZ:
```
5
Lattice="5.1211 0.0000 0.0000 0.0000 5.1211 0.0000 0.0000 0.0000 5.1211" Properties=species:S:1:pos:R:3 pbc="T T T"
Cl 0.0000 2.5606 0.0000
Cl 0.0000 0.0000 2.5606
Cl 2.5606 0.0000 0.0000
Au 0.0000 0.0000 0.0000
In 2.5606 2.5606 2.5606
```

Summary:
SG   Pm-3m
Energy relative to the lowest polymorph listed for this composition   0.0 meV/atom
ΔE_f (raw)   -0.447 eV/atom
VASP energy   -2.76 eV per atom

2.
A plane-wave DFT calculation with GGA-PBE was carried out for a relaxed structure of InAu2Cl.

Geometry as extended XYZ:
```
4
Lattice="-3.5669 3.0877 -4.4650 -1.4979 -1.8787 -6.0349 0.2268 -1.8705 6.2163" Properties=species:S:1:pos:R:3 pbc="T T T"
Cl -1.9018 -1.5724 -2.5342
Au 0.0000 0.0000 0.0000
Au -2.5324 0.6045 -5.2499
In -2.9363 0.9108 -1.7493
```

Summary:
SG   I4/mmm
Energy relative to the lowest polymorph listed for this composition   129.3 meV/atom
ΔE_f (raw)   -0.074 eV/atom
VASP energy   -2.86 eV per atom

3.
A plane-wave DFT calculation with GGA-PBE was carried out for a relaxed structure of InAuCl2.

Geometry as extended XYZ:
```
4
Lattice="3.4436 0.0000 0.0000 0.0000 3.4436 0.0000 0.0000 0.0000 8.0450" Properties=species:S:1:pos:R:3 pbc="T T T"
Cl 0.0000 0.0000 7.4490
Cl 1.7218 1.7218 2.5392
Au 1.7218 1.7218 5.9582
In 0.0000 0.0000 4.1662
```

Summary:
SG   P4mm
Energy relative to the lowest polymorph listed for this composition   311.6 meV/atom
ΔE_f (raw)   -0.255 eV/atom
VASP energy   -2.68 eV per atom

4.
A plane-wave DFT calculation with GGA-PBE was carried out for a relaxed structure of InAu2Cl.

Geometry as extended XYZ:
```
4
Lattice="-7.8336 0.1213 -1.2481 -6.5921 -2.0210 -3.9240 -7.1440 -3.3983 -0.5939" Properties=species:S:1:pos:R:3 pbc="T T T"
Cl -5.3924 -1.3245 -1.4415
Au -0.0672 -0.0165 -0.0180
Au -10.7176 -2.6325 -2.8650
In -16.1772 -3.9735 -4.3245
```

Summary:
SG   R-3m
Energy relative to the lowest polymorph listed for this composition   63.6 meV/atom
ΔE_f (raw)   -0.140 eV/atom
VASP energy   -2.92 eV per atom

5.
A plane-wave DFT calculation with GGA-PBE was carried out for a relaxed structure of K2InAuCl6.

Geometry as extended XYZ:
```
10
Lattice="-6.1184 -3.0962 3.3210 0.2682 -7.2943 2.1282 0.2071 -1.8756 7.7511" Properties=species:S:1:pos:R:3 pbc="T T T"
K -3.1958 -6.2723 5.7501
K -0.0695 -1.9726 7.3625
In -1.8406 -3.3085 2.0192
Au -3.3164 -9.5924 9.6543
Cl -3.4045 -3.7039 3.8892
Cl -0.9766 -8.2659 4.6838
Cl 0.0692 -4.5105 3.0400
Cl -2.6402 -7.6486 8.6452
Cl -4.0477 -4.3597 8.4307
Cl -0.6918 -5.1123 7.4793
```

Summary:
SG   P1
Energy relative to the lowest polymorph listed for this composition   0.0 meV/atom
ΔE_f (raw)   -1.274 eV/atom
VASP energy   -3.20 eV per atom

6.
A plane-wave DFT calculation with GGA-PBE was carried out for a relaxed structure of K2InAuCl6.

Geometry as extended XYZ:
```
10
Lattice="0.0000 5.2512 5.2512 5.2512 0.0000 5.2512 5.2512 5.2512 0.0000" Properties=species:S:1:pos:R:3 pbc="T T T"
K 7.8768 7.8768 7.8768
K 2.6256 2.6256 2.6256
In 0.0000 0.0000 0.0000
Au 5.2512 5.2512 5.2512
Cl 5.2512 2.5622 5.2512
Cl 2.5622 5.2512 5.2512
Cl 5.2512 7.9402 5.2512
Cl 5.2512 5.2512 2.5622
Cl 5.2512 5.2512 7.9402
Cl 7.9402 5.2512 5.2512
```

Summary:
SG   Fm-3m
Energy relative to the lowest polymorph listed for this composition   86.3 meV/atom
ΔE_f (raw)   -1.188 eV/atom
VASP energy   -3.12 eV per atom

7.
A plane-wave DFT calculation with GGA-PBE was carried out for a relaxed structure of LiInAuCl2.

Geometry as extended XYZ:
```
5
Lattice="-1.1121 -1.2876 -4.7785 -2.0691 -9.5306 3.0496 -4.8412 1.2995 0.7766" Properties=species:S:1:pos:R:3 pbc="T T T"
Cl -2.4206 0.6497 0.3883
Cl -0.5561 -0.6438 -2.3892
Au -4.0112 -4.7593 -0.4762
Li -1.0345 -4.7653 1.5248
In 0.0000 0.0000 0.0000
```

Summary:
SG   P4/mmm
ΔE_f (raw)   -0.149 eV/atom
VASP energy   -2.47 eV per atom

8.
A plane-wave DFT calculation with GGA-PBE was carried out for a relaxed structure of MgInAuCl2.

Geometry as extended XYZ:
```
5
Lattice="4.9754 0.0000 0.0000 0.0000 6.7253 0.0000 0.0000 0.0000 4.9754" Properties=species:S:1:pos:R:3 pbc="T T T"
Mg 0.0000 3.3626 0.0000
Cl 0.0000 0.0000 2.4877
Cl 2.4877 0.0000 0.0000
Au 2.4877 3.3626 2.4877
In 0.0000 0.0000 0.0000
```

Summary:
SG   P4/mmm
ΔE_f (raw)   -0.029 eV/atom
VASP energy   -2.29 eV per atom

9.
A plane-wave DFT calculation with GGA-PBE was carried out for a relaxed structure of InAuNCl2.

Geometry as extended XYZ:
```
5
Lattice="-0.2268 -4.3258 2.6894 -0.3035 -2.9681 -4.7998 5.0863 -0.3371 -0.1132" Properties=species:S:1:pos:R:3 pbc="T T T"
N 2.2780 -3.8155 -1.1118
Cl 2.5432 -0.1685 -0.0566
Cl -0.1134 -2.1629 1.3447
Au 0.0000 0.0000 0.0000
In -0.1518 -1.4841 -2.3999
```

Summary:
SG   P4/mmm
ΔE_f (raw)   0.805 eV/atom
VASP energy   -2.80 eV per atom

10.
A plane-wave DFT calculation with GGA-PBE was carried out for a relaxed structure of NaInAu2Cl.

Geometry as extended XYZ:
```
5
Lattice="-1.8639 -4.4391 -1.7486 5.1486 -1.3296 -2.1128 1.2328 -2.2617 4.4275" Properties=species:S:1:pos:R:3 pbc="T T T"
Na 2.2587 -4.0152 0.2830
Cl 0.0000 0.0000 0.0000
Au 0.6164 -1.1309 2.2137
Au -0.9320 -2.2196 -0.8743
In 2.5743 -0.6648 -1.0564
```

Summary:
SG   P4/mmm
ΔE_f (raw)   0.348 eV/atom
VASP energy   -2.14 eV per atom

11.
A plane-wave DFT calculation with GGA-PBE was carried out for a relaxed structure of InP2AuCl.

Geometry as extended XYZ:
```
5
Lattice="5.1279 0.0000 0.0000 0.0000 5.1279 0.0000 0.0000 0.0000 5.0128" Properties=species:S:1:pos:R:3 pbc="T T T"
P 0.0000 2.5640 0.0000
P 2.5640 0.0000 0.0000
Cl 0.0000 0.0000 2.5064
Au 2.5640 2.5640 2.5064
In 0.0000 0.0000 0.0000
```

Summary:
SG   P4/mmm
Energy relative to the lowest polymorph listed for this composition   377.0 meV/atom
ΔE_f (raw)   0.913 eV/atom
VASP energy   -2.82 eV per atom

12.
A plane-wave DFT calculation with GGA-PBE was carried out for a relaxed structure of InPAuCl2.

Geometry as extended XYZ:
```
5
Lattice="5.3003 0.0000 0.0000 0.0000 5.3003 0.0000 0.0000 0.0000 4.7823" Properties=species:S:1:pos:R:3 pbc="T T T"
P 0.0000 0.0000 2.3912
Cl 0.0000 2.6501 0.0000
Cl 2.6501 0.0000 0.0000
Au 0.0000 0.0000 0.0000
In 2.6501 2.6501 2.3912
```

Summary:
SG   P4/mmm
Energy relative to the lowest polymorph listed for this composition   0.0 meV/atom
ΔE_f (raw)   0.102 eV/atom
VASP energy   -2.92 eV per atom